InP2Au PBE relaxed; DFT formation energy = 0.3427 eV per atom; crystal system = orthorhombic; symmetry = No. 35; DOS at the Fermi energy = 0.440 states/eV/atom
1.0
-1.932 -2.248 -0.897
2.593 -0.758 1.515
-4.781 0.705 8.538
P In Au
2 1 1
direct
0.000 0.000 0.059 P
0.500 0.500 0.214 P
0.500 0.500 0.742 In
0.000 0.000 0.485 Au

CeEuZn PBE relaxed; excess energy over the best structure of this formula in the dataset = 130.6 meV/atom; DFT formation energy = 0.0687 eV per atom; crystal system = trigonal; symmetry = No. 156; DOS at the Fermi energy = 2.022 states/eV/atom
1.0
3.530 0.000 0.000
0.000 5.054 0.000
0.000 -2.527 4.377
Zn Eu Ce
1 1 1
direct
0.336 0.333 0.667 Zn
0.649 0.667 0.333 Eu
0.014 0.000 0.000 Ce

Ho3CdRh PBE relaxed; excess energy over the best structure of this formula in the dataset = 52.6 meV/atom; DFT formation energy = -0.4513 eV per atom; crystal system = monoclinic; symmetry = No. 12; DOS at the Fermi energy = 1.029 states/eV/atom
1.0
3.913 0.000 1.093
1.521 7.602 2.105
-0.375 0.211 8.896
Ho Cd Rh
6 2 2
direct
0.590 0.769 0.051 Ho
0.410 0.231 0.949 Ho
0.861 0.563 0.715 Ho
0.168 0.963 0.700 Ho
0.139 0.437 0.285 Ho
0.832 0.037 0.300 Ho
0.572 0.283 0.572 Cd
0.428 0.717 0.428 Cd
0.769 0.375 0.088 Rh
0.231 0.625 0.912 Rh

CsRbBa PBE relaxed; excess energy over the best structure of this formula in the dataset = 32.5 meV/atom; DFT formation energy = 0.1358 eV per atom; crystal system = triclinic; symmetry = No. 1; DOS at the Fermi energy = 1.474 states/eV/atom
1.0
-6.607 -2.227 -3.456
-0.335 -6.825 -3.726
-2.837 -4.363 8.245
Ba Cs Rb
2 2 2
direct
0.962 0.312 0.859 Ba
0.629 0.978 0.723 Ba
0.296 0.645 0.550 Cs
0.296 0.645 0.032 Cs
0.962 0.312 0.377 Rb
0.628 0.979 0.204 Rb

Ir12Os3Rh4 PBE relaxed; DFT formation energy = 0.8190 eV per atom; crystal system = cubic; symmetry = No. 204; DOS at the Fermi energy = 0.994 states/eV/atom
1.0
-2.492 -7.135 -2.771
6.048 -1.103 5.197
-6.096 3.710 3.725
Ir Os Rh
12 3 4
direct
0.733 0.636 0.369 Ir
0.267 0.364 0.631 Ir
0.364 0.631 0.267 Ir
0.631 0.267 0.364 Ir
0.903 0.267 0.636 Ir
0.369 0.733 0.636 Ir
0.733 0.364 0.097 Ir
0.636 0.903 0.267 Ir
0.267 0.636 0.903 Ir
0.364 0.097 0.733 Ir
0.097 0.733 0.364 Ir
0.636 0.369 0.733 Ir
0.500 0.500 0.000 Os
0.500 0.000 0.500 Os
0.000 0.500 0.500 Os
0.000 0.500 0.000 Rh
0.500 0.500 0.500 Rh
0.500 0.000 0.000 Rh
0.000 0.000 0.500 Rh

AlFe2Pd6 PBE relaxed; excess energy over the best structure of this formula in the dataset = 0.0 meV/atom; DFT formation energy = -0.3016 eV per atom; crystal system = orthorhombic; symmetry = No. 69; DOS at the Fermi energy = 0.645 states/eV/atom
1.0
-3.279 2.142 1.659
-4.736 -1.983 -1.348
-1.516 -2.717 5.967
Fe Pd Al
2 6 1
direct
0.332 0.500 0.835 Fe
0.668 0.500 0.165 Fe
0.987 0.194 0.831 Pd
0.318 0.194 0.169 Pd
0.651 0.198 0.500 Pd
0.013 0.806 0.169 Pd
0.682 0.806 0.831 Pd
0.349 0.802 0.500 Pd
0.000 0.500 0.500 Al

YSeBr PBE relaxed; DFT total energy = -5.69 eV per atom; crystal system = monoclinic; symmetry = No. 8; DOS at the Fermi energy = 0.000 states/eV/atom
1.0
-5.765 3.019 3.098
1.280 -1.314 3.662
9.242 10.025 0.367
Br Se Y
4 4 4
direct
0.655 0.000 0.058 Br
0.390 0.000 0.331 Br
0.655 0.500 0.558 Br
0.390 0.500 0.831 Br
0.924 0.000 0.812 Se
0.924 0.500 0.312 Se
0.165 0.500 0.076 Se
0.165 0.000 0.576 Se
0.265 0.000 0.955 Y
0.265 0.500 0.455 Y
0.008 0.500 0.691 Y
0.008 0.000 0.191 Y

NpAs3 PBE relaxed; DFT formation energy = -0.3224 eV per atom; crystal system = cubic; symmetry = No. 221; DOS at the Fermi energy = 2.775 states/eV/atom
1.0
-0.344 4.243 -0.464
-4.074 -0.188 1.302
1.270 0.545 4.050
As Np
3 1
direct
0.500 0.000 0.417 As
0.000 0.500 0.417 As
0.500 0.500 0.917 As
0.000 0.000 0.917 Np

Cd2Os2O7 PBE relaxed; excess energy over the best structure of this formula in the dataset = 0.0 meV/atom; crystal system = cubic; symmetry = No. 227; DOS at the Fermi energy = 0.539 states/eV/atom
1.0
-4.893 -5.347 -0.768
1.158 -5.333 -4.831
1.567 -6.733 2.310
Cd O Os
4 14 4
direct
0.625 0.125 0.125 Cd
0.125 0.625 0.125 Cd
0.125 0.125 0.625 Cd
0.125 0.125 0.125 Cd
0.000 0.000 0.000 O
0.692 0.308 0.308 O
0.250 0.250 0.250 O
0.692 0.692 0.308 O
0.308 0.692 0.308 O
0.308 0.308 0.692 O
0.942 0.942 0.558 O
0.558 0.558 0.942 O
0.558 0.942 0.558 O
0.558 0.942 0.942 O
0.692 0.308 0.692 O
0.942 0.558 0.942 O
0.308 0.692 0.692 O
0.942 0.558 0.558 O
0.625 0.125 0.625 Os
0.125 0.625 0.625 Os
0.625 0.625 0.625 Os
0.625 0.625 0.125 Os

Hf7In2Mo PBE relaxed; DFT formation energy = 0.9223 eV per atom; crystal system = cubic; symmetry = No. 225; DOS at the Fermi energy = 1.508 states/eV/atom
1.0
7.190 0.000 0.000
3.595 6.226 0.000
3.595 2.075 5.870
In Hf Mo
2 7 1
direct
0.250 0.250 0.250 In
0.750 0.750 0.750 In
0.755 0.755 0.245 Hf
0.755 0.245 0.755 Hf
0.245 0.755 0.755 Hf
0.245 0.755 0.245 Hf
0.245 0.245 0.755 Hf
0.755 0.245 0.245 Hf
0.500 0.500 0.500 Hf
0.000 0.000 0.000 Mo

CuSiB2Ir PBE relaxed; DFT total energy = -5.18 eV per atom; crystal system = tetragonal; symmetry = No. 123; DOS at the Fermi energy = 0.393 states/eV/atom
1.0
-1.787 -3.064 -0.792
4.249 -1.880 -2.308
1.076 -1.444 3.157
B Si Cu Ir
2 1 1 1
direct
0.000 0.000 0.500 B
0.500 0.000 0.000 B
0.500 0.500 0.500 Si
0.000 0.000 0.000 Cu
0.000 0.500 0.000 Ir

LaGa2As PBE relaxed; DFT formation energy = -0.6315 eV per atom; crystal system = tetragonal; symmetry = No. 123; DOS at the Fermi energy = 0.534 states/eV/atom
1.0
-0.015 1.103 4.627
0.649 -4.183 1.000
4.301 0.634 -0.137
As La Ga
1 1 2
direct
0.500 0.500 0.500 As
0.500 0.000 0.000 La
0.000 0.500 0.000 Ga
0.000 0.000 0.500 Ga

Number 4 is which compound?
CsRbBa

What is the DOS at the Fermi energy in the eighth record?
2.775 states/eV/atom

Which value of DOS at the Fermi energy does entry 12 give?
0.534 states/eV/atom